(a)
Here is a geometry-optimized Ba2FeTc structure from Alexandria via LeMat-Bulk. Energies are from GGA-PBE.

abc: 3.3749 7.5287 6.3552
angles: 46.80 90.00 90.00
Positions (direct):
Fe 0.5000 0.5000 0.5000
Ba 0.0000 0.0000 0.0000
Ba 0.5000 0.5000 0.0000
Tc 0.0000 0.0000 0.5000

Results
space-group type	P2/m, No. 10
volume	118	Å³/cell
magnetic moment	4.65	Bohr magnetons per cell

(b)
Here is a geometry-optimized Ba2FeTc structure from Alexandria via LeMat-Bulk. Energies are from GGA-PBE.

abc: 9.9767 9.9767 9.9767
angles: 21.01 21.01 21.01
Positions (direct):
Ba 0.5039 0.5039 0.5039
Ba 0.9961 0.9961 0.9961
Tc 0.2500 0.2500 0.2500
Fe 0.7500 0.7500 0.7500

Results
space-group type	R-3m, No. 166
volume	112	Å³/cell
magnetic moment	3.33	Bohr magnetons per cell

(c)
Here is a geometry-optimized Ba2FeTc structure from Alexandria via LeMat-Bulk. Energies are from GGA-PBE.

abc: 5.4043 5.4043 5.4043
angles: 60.00 60.00 60.00
Positions (direct):
Ba 0.2500 0.2500 0.2500
Ba 0.7500 0.7500 0.7500
Fe 0.0000 0.0000 0.0000
Tc 0.5000 0.5000 0.5000

Results
space-group type	Fm-3m, No. 225
volume	112	Å³/cell
magnetic moment	2.07	Bohr magnetons per cell

Stability verdict: (a), ahead by 29 meV/atom

(a)
Here is a geometry-optimized Ba2FeTc structure from Alexandria via LeMat-Bulk. Energies are from GGA-PBE.

abc: 7.0424 7.0424 7.0424
angles: 149.05 136.81 54.08
Positions (direct):
Ba 0.7394 0.2394 0.5000
Ba 0.0138 0.0138 0.0000
Tc 0.3265 0.8265 0.5000
Fe 0.4203 0.4203 0.0000

Results
space-group type	Imm2, No. 44
volume	122	Å³/cell
magnetic moment	0.05	Bohr magnetons per cell

(b)
Here is a geometry-optimized Ba2FeTc structure from Alexandria via LeMat-Bulk. Energies are from GGA-PBE.

abc: 4.9895 4.9895 7.5262
angles: 83.43 83.43 39.58
Positions (direct):
Fe 0.7500 0.7500 0.7500
Tc 0.2500 0.2500 0.2500
Ba 0.5004 0.5004 0.4962
Ba 0.9996 0.9996 0.0038

Results
space-group type	C2/m, No. 12
volume	118	Å³/cell
magnetic moment	4.80	Bohr magnetons per cell

(c)
Here is a geometry-optimized Ba2FeTc structure from Alexandria via LeMat-Bulk. Energies are from GGA-PBE.

abc: 4.0442 4.0442 9.5495
angles: 77.98 77.98 59.99
Positions (direct):
Fe 0.5375 0.5375 0.3879
Ba 0.9625 0.9625 0.1086
Ba 0.7881 0.7881 0.6388
Tc 0.2118 0.2118 0.3646

Results
space-group type	Cm, No. 8
volume	131	Å³/cell
magnetic moment	0.01	Bohr magnetons per cell

Stability verdict: (c), ahead by 237 meV/atom

(a)
Here is a geometry-optimized Ba2FeTc structure from Alexandria via LeMat-Bulk. Energies are from GGA-PBE.

abc: 3.5301 3.5301 9.5081
angles: 90.00 90.00 90.00
Positions (direct):
Fe 0.0000 0.0000 0.5909
Ba 0.0000 0.0000 0.9131
Ba 0.5000 0.5000 0.3408
Tc 0.5000 0.5000 0.6552

Results
space-group type	P4mm, No. 99
volume	118	Å³/cell
magnetic moment	3.18	Bohr magnetons per cell

(b)
Here is a geometry-optimized Ba2FeTc structure from Alexandria via LeMat-Bulk. Energies are from GGA-PBE.

abc: 5.3366 5.3366 5.3366
angles: 60.00 60.00 60.00
Positions (direct):
Fe 0.5000 0.5000 0.5000
Ba 0.0000 0.0000 0.0000
Ba 0.2500 0.2500 0.2500
Tc 0.7500 0.7500 0.7500

Results
space-group type	F-43m, No. 216
volume	107	Å³/cell
magnetic moment	4.96	Bohr magnetons per cell

(c)
Here is a geometry-optimized Ba2FeTc structure from Alexandria via LeMat-Bulk. Energies are from GGA-PBE.

abc: 3.8326 5.1422 6.7014
angles: 67.43 90.00 90.00
Positions (direct):
Ba 0.0000 0.9853 0.9041
Ba 0.5000 0.2650 0.3450
Tc 0.5000 0.5784 0.7179
Fe 0.0000 0.6713 0.5329

Results
space-group type	Amm2, No. 38
volume	122	Å³/cell
magnetic moment	0.37	Bohr magnetons per cell

Stability verdict: (c), ahead by 30 meV/atom

(a)
Here is a geometry-optimized BaFeTc structure from Alexandria via LeMat-Bulk. Energies are from GGA-PBE.

abc: 4.7277 4.7277 4.7277
angles: 60.00 60.00 60.00
Positions (direct):
Tc 0.5000 0.5000 0.5000
Ba 0.2500 0.2500 0.2500
Fe 0.0000 0.0000 0.0000

Results
space-group type	F-43m, No. 216
volume	75	Å³/cell
magnetic moment	4.74	Bohr magnetons per cell

(b)
Here is a geometry-optimized BaFeTc structure from Alexandria via LeMat-Bulk. Energies are from GGA-PBE.

abc: 4.6857 4.6857 4.6857
angles: 60.00 60.00 60.00
Positions (direct):
Fe 0.2500 0.2500 0.2500
Ba 0.5000 0.5000 0.5000
Tc 0.0000 0.0000 0.0000

Results
space-group type	F-43m, No. 216
volume	73	Å³/cell
magnetic moment	4.84	Bohr magnetons per cell

Stability verdict: (b), ahead by 703 meV/atom

(a)
Here is a geometry-optimized BaFeTc structure from Alexandria via LeMat-Bulk. Energies are from GGA-PBE.

abc: 3.9343 3.9343 5.3803
angles: 90.00 90.00 120.00
Positions (direct):
Tc 0.6667 0.3333 0.5166
Fe 0.3333 0.6667 0.4801
Ba 0.0000 0.0000 0.0033

Results
space-group type	P3m1, No. 156
volume	72	Å³/cell
magnetic moment	0.00	Bohr magnetons per cell

(b)
Here is a geometry-optimized BaFeTc structure from Alexandria via LeMat-Bulk. Energies are from GGA-PBE.

abc: 6.3662 6.3662 6.3662
angles: 149.44 149.41 43.79
Positions (direct):
Ba 0.9983 0.9983 0.0000
Fe 0.2696 0.2696 0.0000
Tc 0.7321 0.7321 0.0000

Results
space-group type	I4mm, No. 107
volume	67	Å³/cell
magnetic moment	0.82	Bohr magnetons per cell

Stability verdict: (a), ahead by 118 meV/atom

(a)
Here is a geometry-optimized BaFeTe structure from Alexandria via LeMat-Bulk. Energies are from GGA-PBE.

abc: 4.5343 4.5343 4.9195
angles: 90.00 90.00 120.00
Positions (direct):
Te 0.3333 0.6667 0.5001
Ba 0.0000 0.0000 0.0001
Fe 0.6667 0.3333 0.4998

Results
space-group type	P-6m2, No. 187
volume	88	Å³/cell
magnetic moment	2.00	Bohr magnetons per cell

(b)
Here is a geometry-optimized BaFeTe structure from Alexandria via LeMat-Bulk. Energies are from GGA-PBE.

abc: 6.5143 6.5143 6.5143
angles: 146.11 146.11 48.68
Positions (direct):
Te 0.7130 0.7130 0.0000
Ba 0.9971 0.9971 0.0000
Fe 0.2899 0.2899 0.0000

Results
space-group type	I4mm, No. 107
volume	86	Å³/cell
magnetic moment	2.65	Bohr magnetons per cell

Stability verdict: (a), ahead by 357 meV/atom

(a)
Here is a geometry-optimized BaFeTe structure from Alexandria via LeMat-Bulk. Energies are from GGA-PBE.

abc: 4.9310 4.9310 4.9310
angles: 60.00 60.00 60.00
Positions (direct):
Ba 0.5000 0.5000 0.5000
Te 0.0000 0.0000 0.0000
Fe 0.2500 0.2500 0.2500

Results
space-group type	F-43m, No. 216
volume	85	Å³/cell
magnetic moment	2.17	Bohr magnetons per cell

(b)
Here is a geometry-optimized BaFeTe structure from Alexandria via LeMat-Bulk. Energies are from GGA-PBE.

abc: 5.5700 5.5700 5.5700
angles: 60.00 60.00 60.00
Positions (direct):
Te 0.5000 0.5000 0.5000
Fe 0.0000 0.0000 0.0000
Ba 0.2500 0.2500 0.2500

Results
space-group type	F-43m, No. 216
volume	122	Å³/cell
magnetic moment	3.81	Bohr magnetons per cell

Stability verdict: (a), ahead by 425 meV/atom

(a)
Here is a geometry-optimized BaTiFe3 structure from Alexandria via LeMat-Bulk. Energies are from GGA-PBE.

abc: 4.7657 4.7657 4.7657
angles: 90.00 90.00 90.00
Positions (direct):
Fe 0.5000 0.0000 0.0000
Fe 0.0000 0.5000 0.0000
Fe 0.0000 0.0000 0.5000
Ti 0.0000 0.0000 0.0000
Ba 0.5000 0.5000 0.5000

Results
space-group type	Pm-3m, No. 221
volume	108	Å³/cell
magnetic moment	6.14	Bohr magnetons per cell

(b)
Here is a geometry-optimized BaTiFe3 structure from Alexandria via LeMat-Bulk. Energies are from GGA-PBE.

abc: 4.8676 4.8676 4.8676
angles: 90.00 90.00 90.00
Positions (direct):
Fe 0.5000 0.0000 0.0000
Fe 0.0000 0.5000 0.0000
Fe 0.0000 0.0000 0.5000
Ba 0.0000 0.0000 0.0000
Ti 0.5000 0.5000 0.5000

Results
space-group type	Pm-3m, No. 221
volume	115	Å³/cell
magnetic moment	5.35	Bohr magnetons per cell

Stability verdict: (a), ahead by 1428 meV/atom